No. 1
Tm2Ni12As7 | SCAN | single point on PBEsol structure

Results
Formation energy from the elements, kJ/mol of formula units: -1179
Symmetry: P-6

Unit cell a=3.7601 b=9.2154 c=9.2154 alpha=120.00 beta=90.00 gamma=90.00
With the nearest neighbours (Å) after each atom.
Fractional coordinates of all 21 atoms:
1 Tm 0.0000 0.0000 0.0000  6 As 2.92, 12 Ni 3.08-3.22
2 Tm 0.5000 0.6667 0.3333  6 As 2.92, 9 Ni 3.01-3.18
3 Ni 0.0000 0.1819 0.7963  4 As 2.25-2.35
4 Ni 0.0000 0.6144 0.8181  4 As 2.25-2.35
5 Ni 0.0000 0.2037 0.3856  4 As 2.25-2.35
6 Ni 0.5000 0.9566 0.7153  4 As 2.31-2.38
7 Ni 0.5000 0.7588 0.0434  4 As 2.31-2.38
8 Ni 0.5000 0.2847 0.2412  4 As 2.31-2.38
9 Ni 0.0000 0.8929 0.2832  4 As 2.29-2.37, 1 Ni 2.53
10 Ni 0.0000 0.3903 0.1071  4 As 2.29-2.37, 1 Ni 2.53
11 Ni 0.0000 0.7168 0.6097  4 As 2.29-2.37, 1 Ni 2.53
12 Ni 0.5000 0.1230 0.5518  5 As 2.41-2.58, 1 Ni 2.63
13 Ni 0.5000 0.4288 0.8770  5 As 2.41-2.58, 1 Ni 2.63
14 Ni 0.5000 0.4482 0.5712  5 As 2.41-2.58, 1 Ni 2.63
15 As 0.0000 0.3333 0.6667  3 Ni 2.25
16 As 0.5000 0.2229 0.9651  7 Ni 2.31-2.41
17 As 0.5000 0.7422 0.7771  7 Ni 2.31-2.41
18 As 0.5000 0.0349 0.2578  7 Ni 2.31-2.41
19 As 0.0000 0.9299 0.5476  5 Ni 2.29-2.37
20 As 0.0000 0.6177 0.0701  5 Ni 2.29-2.37
21 As 0.0000 0.4524 0.3823  5 Ni 2.29-2.37

---

No. 2
CsSeSCl2 | SCAN | single point on PBEsol structure

Results
Energy relative to the elements, uncorrected, eV/atom: 0.54
Symmetry: P4/mmm

Unit cell a=6.0285 b=6.0285 c=6.8233 alpha=90.00 beta=90.00 gamma=90.00
With the nearest neighbours (Å) after each atom.
Fractional coordinates of all 5 atoms:
1 Cs 0.0000 0.0000 0.0000  4 Cl 3.01
2 S 0.5000 0.5000 0.5000  4 Se 4.26, 8 Cl 4.55
3 Se 0.0000 0.0000 0.5000  2 Cs 3.41
4 Cl 0.0000 0.5000 0.0000  2 Cs 3.01
5 Cl 0.5000 0.0000 0.0000  2 Cs 3.01